{
  "formula": "GdLuPd2",
  "functional": "PBE",
  "state": "relaxed",
  "cell": [[0.000, 3.495, 3.495], [3.495, 0.000, 3.495], [3.495, 3.495, 0.000]],
  "species": ["Gd", "Lu", "Pd", "Pd"],
  "frac_coords": [[0.000, 0.000, 0.000], [0.500, 0.500, 0.500], [0.250, 0.250, 0.250], [0.750, 0.750, 0.750]],
  "delta_e_f_mev_per_atom": -891,
  "sg": "Fm-3m"
}